Density functional theory data (SCAN) for a PBEsol-optimized structure of ZnNi.

abc: 4.477 4.103 5.025
angles: 90.00 90.00 90.00
Atoms (fractional coordinates):
Zn 0.096 0.250 0.125
Zn 0.404 0.750 0.625
Zn 0.596 0.250 0.375
Zn 0.904 0.750 0.875
Ni 0.084 0.250 0.624
Ni 0.416 0.750 0.124
Ni 0.584 0.250 0.876
Ni 0.916 0.750 0.376

The volume comes out at 92.3 Å³ per cell. As for the final energy: -120.0 eV for the cell shown. For the formation energy, the calculation gives -0.15 eV/atom. The size of the total moment comes out at 0.00 μB/atom.